Below is a relaxed As2IrRu crystal, with properties calculated at the GGA-PBE level.

Structure (POSCAR):
```
As2IrRu
1.0
3.026 -3.309 0.000
3.026 3.309 0.000
0.000 0.000 3.023
As Ir Ru
2 1 1
direct
0.000 0.500 0.000
0.500 0.000 0.000
0.000 0.000 0.500
0.500 0.500 0.500
```

Values from the calculation:
- ΔE_f (meV per atom) = 144.3
- D(E_F) (states/eV/f.u.) = 3.55
- energy above the most stable polymorph in this dataset (eV per atom) = 0.2178